Entry 1:
# PBE CeTmZr2, optimized geometry
# E above lowest polymorph = 0 meV per atom
# SG = No. 160
# Formation energy = 0.100 eV per atom
data_CeTmZr2
_cell_length_a 3.301
_cell_length_b 3.301
_cell_length_c 11.067
_cell_angle_alpha 81.42
_cell_angle_beta 81.42
_cell_angle_gamma 60.00
_space_group_name_H-M_alt 'P 1'
_space_group_IT_number 1
_space_group_name_Hall 'P 1'
loop_
_atom_site_label
_atom_site_fract_x
_atom_site_fract_y
_atom_site_fract_z
Tm1 0.667 0.667 0.999
Zr1 0.250 0.250 0.251
Zr2 0.083 0.083 0.751
Ce1 0.500 0.500 0.500

Entry 2:
# PBE RbUBO5, optimized geometry
# SG = No. 15
# Energy relative to the elements, uncorrected = -2.497 eV/atom
data_RbUBO5
_cell_length_a 5.776
_cell_length_b 5.776
_cell_length_c 7.998
_cell_angle_alpha 106.07
_cell_angle_beta 106.07
_cell_angle_gamma 104.86
_space_group_name_H-M_alt 'P 1'
_space_group_IT_number 1
_space_group_name_Hall 'P 1'
loop_
_atom_site_label
_atom_site_fract_x
_atom_site_fract_y
_atom_site_fract_z
B1 0.694 0.306 0.250
B2 0.306 0.694 0.750
O1 0.144 0.731 0.871
O2 0.856 0.269 0.129
O3 0.214 0.411 0.633
O4 0.411 0.214 0.133
O5 0.731 0.144 0.371
O6 0.941 0.059 0.750
O7 0.269 0.856 0.629
O8 0.589 0.786 0.867
O9 0.059 0.941 0.250
O10 0.786 0.589 0.367
U1 0.000 0.000 0.000
U2 0.000 0.000 0.500
Rb1 0.341 0.659 0.250
Rb2 0.659 0.341 0.750

Entry 3:
# PBE CuAgCl2, optimized geometry
# SG = No. 12
# Energy relative to the elements, uncorrected = -0.324 eV/atom
data_CuAgCl2
_cell_length_a 4.016
_cell_length_b 4.016
_cell_length_c 6.802
_cell_angle_alpha 72.78
_cell_angle_beta 72.78
_cell_angle_gamma 52.53
_space_group_name_H-M_alt 'P 1'
_space_group_IT_number 1
_space_group_name_Hall 'P 1'
loop_
_atom_site_label
_atom_site_fract_x
_atom_site_fract_y
_atom_site_fract_z
Cu1 0.750 0.750 0.750
Ag1 0.250 0.250 0.250
Cl1 0.429 0.429 0.521
Cl2 0.071 0.071 0.979

Entry 4:
# PBE V5Tc2W, optimized geometry
# SG = No. 10
# Formation energy = -0.145 eV per atom
data_V5Tc2W
_cell_length_a 4.354
_cell_length_b 5.154
_cell_length_c 10.084
_cell_angle_alpha 95.39
_cell_angle_beta 90.00
_cell_angle_gamma 90.00
_space_group_name_H-M_alt 'P 1'
_space_group_IT_number 1
_space_group_name_Hall 'P 1'
loop_
_atom_site_label
_atom_site_fract_x
_atom_site_fract_y
_atom_site_fract_z
Tc1 0.500 0.693 0.625
Tc2 0.500 0.125 0.873
Tc3 0.500 0.307 0.375
Tc4 0.500 0.875 0.127
V1 0.000 0.640 0.252
V2 0.000 0.000 0.000
V3 0.500 0.375 0.126
V4 0.500 0.803 0.377
V5 0.000 0.140 0.253
V6 0.500 0.625 0.874
V7 0.000 0.500 0.500
V8 0.500 0.197 0.623
V9 0.000 0.360 0.748
V10 0.000 0.860 0.747
W1 0.000 0.500 0.000
W2 0.000 0.000 0.500

Entry 5:
# PBE La2Mg3Tl2, optimized geometry
# SG = No. 12
# Formation energy = -0.213 eV per atom
data_La2Mg3Tl2
_cell_length_a 4.850
_cell_length_b 6.280
_cell_length_c 7.304
_cell_angle_alpha 100.11
_cell_angle_beta 90.00
_cell_angle_gamma 112.72
_space_group_name_H-M_alt 'P 1'
_space_group_IT_number 1
_space_group_name_Hall 'P 1'
loop_
_atom_site_label
_atom_site_fract_x
_atom_site_fract_y
_atom_site_fract_z
Tl1 0.887 0.774 0.321
Tl2 0.113 0.226 0.679
Mg1 0.296 0.592 0.119
Mg2 0.704 0.408 0.881
Mg3 0.000 0.000 0.000
La1 0.608 0.216 0.357
La2 0.392 0.784 0.643

Entry 6:
# PBE PrSb2Rh4, optimized geometry
# E above lowest polymorph = 21 meV per atom
# SG = No. 62
# Energy relative to the elements, uncorrected = -0.566 eV/atom
data_PrSb2Rh4
_cell_length_a 4.367
_cell_length_b 7.184
_cell_length_c 17.306
_cell_angle_alpha 90.00
_cell_angle_beta 90.00
_cell_angle_gamma 90.00
_space_group_name_H-M_alt 'P 1'
_space_group_IT_number 1
_space_group_name_Hall 'P 1'
loop_
_atom_site_label
_atom_site_fract_x
_atom_site_fract_y
_atom_site_fract_z
Rh1 0.750 0.365 0.320
Rh2 0.750 0.883 0.467
Rh3 0.750 0.617 0.967
Rh4 0.250 0.865 0.180
Rh5 0.250 0.635 0.680
Rh6 0.750 0.725 0.789
Rh7 0.250 0.464 0.438
Rh8 0.250 0.225 0.711
Rh9 0.250 0.036 0.938
Rh10 0.250 0.275 0.211
Rh11 0.750 0.135 0.820
Rh12 0.750 0.536 0.562
Rh13 0.750 0.775 0.289
Rh14 0.750 0.964 0.062
Rh15 0.250 0.117 0.533
Rh16 0.250 0.383 0.033
Pr1 0.750 0.973 0.643
Pr2 0.250 0.027 0.357
Pr3 0.250 0.473 0.857
Pr4 0.750 0.527 0.143
Sb1 0.250 0.744 0.533
Sb2 0.250 0.921 0.794
Sb3 0.750 0.244 0.967
Sb4 0.750 0.256 0.467
Sb5 0.750 0.421 0.706
Sb6 0.750 0.079 0.206
Sb7 0.250 0.756 0.033
Sb8 0.250 0.579 0.294

Entry 7:
# PBE Nd2TmIn2Rh5, optimized geometry
# SG = No. 127
# Formation energy = -0.530 eV per atom
data_Nd2TmIn2Rh5
_cell_length_a 3.715
_cell_length_b 10.472
_cell_length_c 10.472
_cell_angle_alpha 90.00
_cell_angle_beta 90.00
_cell_angle_gamma 90.00
_space_group_name_H-M_alt 'P 1'
_space_group_IT_number 1
_space_group_name_Hall 'P 1'
loop_
_atom_site_label
_atom_site_fract_x
_atom_site_fract_y
_atom_site_fract_z
Rh1 0.500 0.201 0.062
Rh2 0.500 0.299 0.562
Rh3 0.500 0.500 0.000
Rh4 0.500 0.701 0.438
Rh5 0.500 0.062 0.799
Rh6 0.500 0.562 0.701
Rh7 0.500 0.799 0.938
Rh8 0.500 0.000 0.500
Rh9 0.500 0.438 0.299
Rh10 0.500 0.938 0.201
Tm1 0.000 0.000 0.000
Tm2 0.000 0.500 0.500
In1 0.000 0.128 0.628
In2 0.000 0.872 0.372
In3 0.000 0.628 0.872
In4 0.000 0.372 0.128
Nd1 0.000 0.830 0.670
Nd2 0.000 0.170 0.330
Nd3 0.000 0.330 0.830
Nd4 0.000 0.670 0.170

Entry 8:
# PBE TcCl, optimized geometry
# E above lowest polymorph = 22 meV per atom
# SG = No. 83
# Energy relative to the elements, uncorrected = -0.104 eV/atom
data_TcCl
_cell_length_a 10.138
_cell_length_b 10.138
_cell_length_c 3.235
_cell_angle_alpha 90.00
_cell_angle_beta 90.00
_cell_angle_gamma 90.00
_space_group_name_H-M_alt 'P 1'
_space_group_IT_number 1
_space_group_name_Hall 'P 1'
loop_
_atom_site_label
_atom_site_fract_x
_atom_site_fract_y
_atom_site_fract_z
Cl1 0.677 0.301 0.500
Cl2 0.785 0.988 0.000
Cl3 0.988 0.215 0.000
Cl4 0.301 0.323 0.500
Cl5 0.012 0.785 0.000
Cl6 0.323 0.699 0.500
Cl7 0.699 0.677 0.500
Cl8 0.215 0.012 0.000
Tc1 0.095 0.599 0.500
Tc2 0.905 0.401 0.500
Tc3 0.115 0.418 0.000
Tc4 0.885 0.582 0.000
Tc5 0.418 0.885 0.000
Tc6 0.582 0.115 0.000
Tc7 0.401 0.095 0.500
Tc8 0.599 0.905 0.500

Entry 9:
# PBE ThMg2Pd2, optimized geometry
# E above lowest polymorph = 0 meV per atom
# SG = No. 11
# Formation energy = -0.592 eV per atom
data_ThMg2Pd2
_cell_length_a 4.741
_cell_length_b 5.472
_cell_length_c 8.262
_cell_angle_alpha 82.76
_cell_angle_beta 90.00
_cell_angle_gamma 90.00
_space_group_name_H-M_alt 'P 1'
_space_group_IT_number 1
_space_group_name_Hall 'P 1'
loop_
_atom_site_label
_atom_site_fract_x
_atom_site_fract_y
_atom_site_fract_z
Mg1 0.750 0.136 0.200
Mg2 0.250 0.864 0.800
Mg3 0.250 0.136 0.449
Mg4 0.750 0.864 0.551
Th1 0.250 0.633 0.192
Th2 0.750 0.367 0.808
Pd1 0.750 0.829 0.965
Pd2 0.750 0.393 0.447
Pd3 0.250 0.171 0.035
Pd4 0.250 0.607 0.553

Entry 10:
# PBE SmHo4Lu, optimized geometry
# SG = No. 216
# Formation energy = 0.268 eV per atom
data_SmHo4Lu
_cell_length_a 6.526
_cell_length_b 6.526
_cell_length_c 6.526
_cell_angle_alpha 60.00
_cell_angle_beta 60.00
_cell_angle_gamma 60.00
_space_group_name_H-M_alt 'P 1'
_space_group_IT_number 1
_space_group_name_Hall 'P 1'
loop_
_atom_site_label
_atom_site_fract_x
_atom_site_fract_y
_atom_site_fract_z
Ho1 0.625 0.625 0.125
Ho2 0.625 0.625 0.625
Ho3 0.125 0.625 0.625
Ho4 0.625 0.125 0.625
Lu1 0.000 0.000 0.000
Sm1 0.250 0.250 0.250

Entry 11:
# PBE TlCoTeN2, optimized geometry
# E above lowest polymorph = 938 meV per atom
# SG = No. 123
# Energy relative to the elements, uncorrected = 2.117 eV/atom
data_TlCoTeN2
_cell_length_a 4.056
_cell_length_b 4.056
_cell_length_c 6.467
_cell_angle_alpha 90.00
_cell_angle_beta 90.00
_cell_angle_gamma 90.00
_space_group_name_H-M_alt 'P 1'
_space_group_IT_number 1
_space_group_name_Hall 'P 1'
loop_
_atom_site_label
_atom_site_fract_x
_atom_site_fract_y
_atom_site_fract_z
N1 0.500 0.000 0.000
N2 0.000 0.500 0.000
Tl1 0.000 0.000 0.000
Te1 0.000 0.000 0.500
Co1 0.500 0.500 0.500

Entry 12:
# PBE NaCrP2S, optimized geometry
# E above lowest polymorph = 1336 meV per atom
# SG = No. 123
# Energy relative to the elements, uncorrected = 1.369 eV/atom
data_NaCrP2S
_cell_length_a 4.795
_cell_length_b 4.795
_cell_length_c 4.809
_cell_angle_alpha 90.00
_cell_angle_beta 90.00
_cell_angle_gamma 90.00
_space_group_name_H-M_alt 'P 1'
_space_group_IT_number 1
_space_group_name_Hall 'P 1'
loop_
_atom_site_label
_atom_site_fract_x
_atom_site_fract_y
_atom_site_fract_z
S1 0.000 0.000 0.500
P1 0.500 0.000 0.000
P2 0.000 0.500 0.000
Na1 0.000 0.000 0.000
Cr1 0.500 0.500 0.500

| no. | V (Å³/atom) | total energy (eV/f.u.) |
| --- | --- | --- |
| 1 | 25.7 | -27.10 |
| 2 | 14.4 | -63.70 |
| 3 | 20.5 | -11.94 |
| 4 | 14.1 | -80.44 |
| 5 | 28.8 | -20.86 |
| 6 | 19.4 | -46.39 |
| 7 | 20.4 | -61.54 |
| 8 | 20.8 | -12.42 |
| 9 | 21.3 | -23.96 |
| 10 | 32.8 | -25.94 |
| 11 | 21.3 | -18.68 |
| 12 | 22.1 | -19.05 |